The following is a PBE calculation of crystalline Al3IrOs at its relaxed geometry, from Alexandria.

Summary:
* V: 19.27 Å³/atom
* total magnetization: 0.0 μB per formula unit
* energy of formation: 0.61 eV/atom

a b c (Å): 4.5845 4.5845 4.5845
angles (deg): 90.00 90.00 90.00
Element x y z (fractional)
Al 0.0000 0.0000 0.5000
Al 0.0000 0.5000 0.0000
Al 0.5000 0.0000 0.0000
Ir 0.5000 0.5000 0.5000
Os 0.0000 0.0000 0.0000